{
  "formula": "CaNpV2O8",
  "functional": "PBE with a Hubbard U",
  "state": "optimized geometry",
  "density_g_cm3": 5.01,
  "sg": "I-4m2, No. 119",
  "energy_ev_per_atom": -8.236,
  "magmom_total_mub_per_fu": 3.00,
  "cell": [[6.040, 0.019, 0.000], [-2.662, 5.422, 0.000], [-1.689, -2.720, 5.121]],
  "species": ["O", "O", "O", "O", "O", "O", "O", "O", "V", "V", "Ca", "Np"],
  "frac_coords": [[0.931, 0.252, 0.321], [0.389, 0.069, 0.321], [0.333, 0.142, 0.809], [0.858, 0.667, 0.191], [0.333, 0.524, 0.191], [0.748, 0.069, 0.679], [0.476, 0.667, 0.809], [0.931, 0.611, 0.679], [0.500, 0.500, 0.000], [0.750, 0.250, 0.500], [0.000, 0.000, 0.000], [0.250, 0.750, 0.500]]
}